No. 1
RbNaOs3 PBE relaxed; total DFT energy (no corrections) = -3.947 eV/atom; density of states at the Fermi level = 7.50 states/eV per cell; formation enthalpy at 0 K = 313.4 kJ per mole of atoms
1.0
4.9279 0.0000 0.0000
0.0000 4.9279 0.0000
0.0000 0.0000 4.9279
Rb Na Os
1 1 3
Direct
0.0000 0.0000 0.0000
0.5000 0.5000 0.5000
0.0000 0.5000 0.5000
0.5000 0.0000 0.5000
0.5000 0.5000 0.0000

No. 2
BaCeReN4 PBE relaxed; total DFT energy (no corrections) = -8.495 eV/atom; density of states at the Fermi level = 12.25 states/eV per cell; ΔE_f (raw) = -837 meV/atom
1.0
6.1650 0.0000 0.0000
0.0000 5.9535 0.0000
-2.1073 0.0000 7.1708
Ba Ce Re N
2 2 2 8
Direct
0.2141 0.2500 0.4252
0.7859 0.7500 0.5748
0.2893 0.2500 0.9492
0.7107 0.7500 0.0508
0.2486 0.7500 0.1689
0.7514 0.2500 0.8311
0.0590 0.7500 0.9350
0.0646 0.7500 0.3250
0.4443 0.5074 0.1994
0.4443 0.9926 0.1994
0.5557 0.0074 0.8006
0.5557 0.4926 0.8006
0.9354 0.2500 0.6750
0.9410 0.2500 0.0650